VASP calculation (PBE-GGA) on a geometry-optimized GdAl2Ni structure.

Cell lengths 9.1145, 9.1145, 4.0340 Å; angles 90.00, 90.00, 153.39 degrees
Last column: nearest neighbours and their distance in Å.
Atoms (fractional coordinates):
Al 0.5000 0.5000 0.0000  4 Ni 2.41
Al 0.0000 0.0000 0.5000  4 Ni 2.48
Al 0.7084 0.2916 0.5000  1 Ni 2.38, 2 Al 2.57
Al 0.2916 0.7084 0.5000  1 Ni 2.38, 2 Al 2.57
Gd 0.8587 0.1413 0.0000  4 Ni 3.14, 10 Al 3.14-3.34
Gd 0.1413 0.8587 0.0000  4 Ni 3.14, 10 Al 3.14-3.34
Ni 0.5743 0.4257 0.5000  5 Al 2.38-2.48, 1 Ni 2.64
Ni 0.4257 0.5743 0.5000  5 Al 2.38-2.48, 1 Ni 2.64

Summary:
SG: Cmmm, No. 65
Uncorrected energy: -40.0 eV per cell